PBE-GGA Zr2Tl3NiSe6, relaxed; uncorrected energy = -5.001 eV/atom; energy relative to the elements, uncorrected = -9.13 eV per formula unit
1.0
3.3447 -5.7946 0.0000
3.3447 5.7946 0.0000
-2.2232 0.0000 7.9271
Zr Tl Ni Se
2 3 1 6
Cartesian
3.3447 3.8714 0.0000
3.3447 -3.8714 0.0000
-1.1116 0.0000 3.9636
2.2331 1.9869 3.9636
2.2331 -1.9869 3.9636
3.3447 0.0000 0.0000
0.0547 1.8559 6.4326
1.1988 0.0000 1.5111
0.0547 -1.8559 6.4326
4.4114 1.8559 1.4945
3.2673 0.0000 6.4160
4.4114 -1.8559 1.4945

PBE-GGA ZrTlNiSe4, relaxed; uncorrected energy = -5.026 eV/atom; energy relative to the elements, uncorrected = -4.55 eV per formula unit
1.0
6.7629 0.0000 0.0000
0.0000 5.6556 0.0000
-2.7893 0.0000 8.9322
Zr Tl Ni Se
2 2 2 8
Cartesian
0.3013 1.4139 3.9491
3.6722 4.2417 4.9832
-0.9718 1.4139 8.5221
4.9454 4.2417 0.4101
-0.2779 4.2417 5.8823
4.2515 1.4139 3.0499
-1.9966 4.2417 7.4525
-0.6868 4.2417 3.6080
2.4362 5.6550 2.7731
2.4362 2.8285 2.7731
1.5374 0.0006 6.1592
1.5374 2.8272 6.1592
4.6604 1.4139 5.3242
5.9701 1.4139 1.4797

PBE-GGA Tm2NiSe, relaxed; distance to the lowest polymorph of the same formula = 0.0000 eV/atom; uncorrected energy = -5.635 eV/atom; energy relative to the elements, uncorrected = -4.33 eV per formula unit
1.0
1.9164 -10.8895 0.0000
1.9164 10.8895 0.0000
0.0000 0.0000 4.0933
Tm Ni Se
4 2 2
Cartesian
1.9164 9.5549 3.0700
1.9164 3.7247 3.0700
1.9164 -3.7247 1.0233
1.9164 -9.5549 1.0233
1.9164 0.7951 3.0700
1.9164 -0.7951 1.0233
1.9164 6.6517 3.0700
1.9164 -6.6517 1.0233

PBE-GGA Tm7NiSe5, relaxed; uncorrected energy = -5.554 eV/atom; energy relative to the elements, uncorrected = -17.70 eV per formula unit
1.0
1.9400 -6.5971 0.0000
1.9400 6.5971 0.0000
0.0000 0.0000 24.0064
Tm Ni Se
14 2 10
Cartesian
1.9400 5.9566 18.0048
1.9400 4.7679 0.9331
1.9400 4.7679 11.0701
1.9400 2.7158 16.3768
1.9400 2.7158 19.6328
1.9400 1.1957 2.8938
1.9400 1.1957 9.1094
1.9400 -1.1957 14.8970
1.9400 -1.1957 21.1126
1.9400 -2.7158 4.3736
1.9400 -2.7158 7.6296
1.9400 -4.7679 12.9363
1.9400 -4.7679 23.0733
1.9400 -5.9566 6.0016
1.9400 2.5633 6.0016
1.9400 -2.5633 18.0048
1.9400 5.8383 3.4838
1.9400 5.8383 8.5194
1.9400 3.7044 13.7042
1.9400 3.7044 22.3055
1.9400 0.0000 0.0000
1.9400 0.0000 12.0032
1.9400 -3.7044 1.7010
1.9400 -3.7044 10.3022
1.9400 -5.8383 15.4870
1.9400 -5.8383 20.5226

PBE-GGA Tm3NiSe, relaxed; uncorrected energy = -5.373 eV/atom; energy relative to the elements, uncorrected = -4.18 eV per formula unit
1.0
7.7392 0.0000 0.0000
0.0000 3.7924 0.0000
-2.3706 0.0000 7.7997
Tm Ni Se
6 2 2
Cartesian
-0.0077 0.9481 1.9322
0.1604 0.9481 7.3191
1.1568 2.8443 4.6531
4.2118 0.9481 3.1466
5.2082 2.8443 0.4806
5.3764 2.8443 5.8675
-0.8519 0.9481 4.6047
6.2205 2.8443 3.1950
2.3517 2.8443 1.8672
3.0170 0.9481 5.9325

PBE-GGA TmNiSe2, relaxed; uncorrected energy = -4.672 eV/atom; energy relative to the elements, uncorrected = -1.47 eV per formula unit
1.0
1.8077 1.0437 8.0806
-1.8077 1.0437 8.0806
0.0000 -2.0874 8.0806
Tm Ni Se
1 1 2
Cartesian
0.0000 0.0000 0.0000
0.0000 0.0000 12.1208
0.0000 0.0000 2.7706
0.0000 0.0000 21.4711